The following is a PBE calculation of an optimized crystal structure of SiWN, from the Alexandria database.

Lattice parameters (Å, degrees): 2.984 2.984 4.832 90.00 90.00 120.00
Positions (direct):
W 0.667 0.333 0.640
Si 0.000 0.000 0.260
N 0.000 0.000 0.902

***

The following is a PBE calculation of an optimized crystal structure of SiWN, from the Alexandria database.

Lattice parameters (Å, degrees): 2.975 5.136 5.420 67.15 81.00 89.84
Positions (direct):
W 0.335 0.432 0.975
N 0.440 0.205 0.418
Si 0.759 0.794 0.065
W 0.971 0.456 0.510
N 0.826 0.162 0.921
Si 0.429 0.842 0.547

***

The following is a PBE calculation of an optimized crystal structure of ZnSiW2N, from the Alexandria database.

Lattice parameters (Å, degrees): 4.783 3.342 4.783 90.00 90.00 90.00
Positions (direct):
N 0.000 0.500 0.000
Zn 0.500 0.500 0.500
W 0.500 0.000 0.000
W 0.000 0.000 0.500
Si 0.000 0.000 0.000

***

The following is a PBE calculation of an optimized crystal structure of Y5Si3N9, from the Alexandria database.

Lattice parameters (Å, degrees): 7.553 7.553 15.417 90.00 90.00 93.35
Positions (direct):
N 0.721 0.011 0.998
Si 0.257 0.743 0.516
Y 0.990 0.010 0.891
N 0.486 0.767 0.738
N 0.511 0.221 0.498
Y 0.058 0.530 0.369
N 0.267 0.195 0.652
Y 0.497 0.503 0.169
N 0.779 0.489 0.498
N 0.352 0.648 0.300
Y 0.503 0.497 0.831
N 0.233 0.305 0.152
Y 0.970 0.442 0.131
N 0.514 0.233 0.262
Si 0.788 0.712 0.250
N 0.706 0.294 0.879
Si 0.288 0.212 0.250
N 0.989 0.279 0.998
N 0.305 0.233 0.848
Si 0.263 0.737 0.724
Y 0.558 0.030 0.131
N 0.733 0.805 0.348
Si 0.763 0.237 0.776
N 0.648 0.352 0.700
N 0.267 0.986 0.238
N 0.279 0.989 0.002
N 0.221 0.511 0.502
N 0.206 0.794 0.621
N 0.805 0.733 0.652
Y 0.997 0.003 0.331
Y 0.510 0.490 0.391
N 0.011 0.721 0.002
N 0.148 0.852 0.800
N 0.014 0.733 0.238
N 0.733 0.014 0.762
Y 0.207 0.207 0.500
N 0.852 0.148 0.200
Y 0.942 0.470 0.631
Y 0.470 0.942 0.369
Y 0.490 0.510 0.609
N 0.866 0.134 0.556
Y 0.442 0.970 0.869
N 0.695 0.767 0.152
N 0.634 0.366 0.056
Si 0.237 0.763 0.224
N 0.986 0.267 0.762
N 0.794 0.206 0.379
Y 0.793 0.793 0.500
Si 0.757 0.243 0.984
Si 0.712 0.788 0.750
Y 0.530 0.058 0.631
N 0.767 0.486 0.262
N 0.134 0.866 0.444
Y 0.293 0.293 0.000
N 0.366 0.634 0.944
Y 0.707 0.707 0.000
N 0.489 0.779 0.502
N 0.233 0.514 0.738
Si 0.737 0.263 0.276
Y 0.003 0.997 0.669
Si 0.212 0.288 0.750
Y 0.030 0.558 0.869
N 0.294 0.706 0.121
N 0.767 0.695 0.848
Si 0.243 0.757 0.016
Y 0.010 0.990 0.109
Si 0.743 0.257 0.484
N 0.195 0.267 0.348

***

The following is a PBE calculation of an optimized crystal structure of Y12Si3N5, from the Alexandria database.

Lattice parameters (Å, degrees): 13.196 13.196 13.196 109.47 109.47 109.47
Positions (direct):
Si 0.250 0.625 0.875
Y 0.617 0.021 0.204
Y 0.021 0.617 0.704
N 0.625 0.875 0.250
Y 0.904 0.817 0.521
Y 0.021 0.404 0.817
N 0.000 0.500 0.500
N 0.625 0.750 0.875
Y 0.521 0.317 0.904
Y 0.479 0.796 0.883
N 0.500 0.000 0.000
Si 0.250 0.125 0.375
Y 0.883 0.587 0.904
Y 0.796 0.479 0.383
N 0.375 0.250 0.125
Y 0.883 0.296 0.479
Y 0.817 0.913 0.296
Y 0.704 0.587 0.183
Y 0.913 0.096 0.617
Y 0.413 0.296 0.317
N 0.750 0.625 0.375
Y 0.383 0.979 0.796
N 0.000 0.000 0.000
Y 0.117 0.413 0.096
N 0.375 0.125 0.750
Y 0.904 0.087 0.883
Y 0.317 0.521 0.404
Y 0.796 0.317 0.913
Y 0.117 0.704 0.521
Si 0.125 0.250 0.875
Si 0.875 0.125 0.250
Y 0.404 0.021 0.317
N 0.875 0.250 0.625
Si 0.375 0.750 0.625
Y 0.087 0.183 0.204
Si 0.125 0.875 0.750
Y 0.383 0.404 0.087
Y 0.587 0.883 0.404
Y 0.683 0.204 0.587
Y 0.913 0.817 0.796
Y 0.817 0.904 0.021
Si 0.875 0.750 0.125
Si 0.375 0.625 0.250
Y 0.587 0.704 0.683
Y 0.596 0.617 0.413
Si 0.625 0.250 0.375
Y 0.096 0.183 0.479
N 0.000 0.500 0.000
Y 0.183 0.087 0.704
Y 0.683 0.479 0.596
Y 0.404 0.383 0.587
N 0.875 0.625 0.750
Y 0.087 0.904 0.383
Si 0.750 0.875 0.625
Y 0.296 0.883 0.979
Y 0.317 0.796 0.413
Y 0.979 0.383 0.296
Y 0.704 0.117 0.021
N 0.500 0.500 0.500
Si 0.625 0.375 0.750
Y 0.183 0.096 0.979
N 0.125 0.750 0.375
Y 0.521 0.204 0.117
N 0.125 0.375 0.250
Si 0.750 0.375 0.125
Y 0.617 0.596 0.913
Y 0.204 0.683 0.087
Y 0.296 0.413 0.817
N 0.250 0.875 0.125
Y 0.979 0.596 0.183
N 0.500 0.000 0.500
Y 0.479 0.683 0.096
N 0.250 0.375 0.625
N 0.750 0.125 0.875
Y 0.204 0.521 0.617
N 0.000 0.000 0.500
N 0.500 0.500 0.000
Y 0.413 0.117 0.596
Y 0.596 0.979 0.683
Y 0.096 0.913 0.117

***

The following is a PBE calculation of an optimized crystal structure of Y3SiN4, from the Alexandria database.

Lattice parameters (Å, degrees): 5.178 6.467 7.366 90.00 90.00 90.00
Positions (direct):
Si 0.498 0.833 0.500
N 0.079 0.894 0.000
N 0.082 0.301 0.205
Y 0.539 0.334 0.751
Y 0.039 0.666 0.749
N 0.582 0.699 0.705
Y 0.039 0.666 0.251
Y 0.039 0.156 0.500
Y 0.539 0.844 0.000
Si 0.998 0.167 0.000
N 0.656 0.167 0.000
N 0.082 0.301 0.795
N 0.579 0.106 0.500
N 0.582 0.699 0.295
Y 0.539 0.334 0.249
N 0.156 0.833 0.500

***

The following is a PBE calculation of an optimized crystal structure of YSiN, from the Alexandria database.

Lattice parameters (Å, degrees): 3.469 3.469 9.022 101.09 101.09 90.00
Positions (direct):
N 0.186 0.186 0.372
Y 0.678 0.678 0.357
Si 0.921 0.921 0.843
Si 0.079 0.079 0.157
Y 0.322 0.322 0.643
N 0.814 0.814 0.628

***

The following is a PBE calculation of an optimized crystal structure of Y3SiN, from the Alexandria database.

Lattice parameters (Å, degrees): 4.710 4.710 4.710 90.00 90.00 90.00
Positions (direct):
N 0.000 0.000 0.000
Y 0.000 0.500 0.000
Y 0.500 0.000 0.000
Si 0.500 0.500 0.500
Y 0.000 0.000 0.500

***

Calculated volume list, top to bottom, in Å³ per cell: 37.3, 75.2, 76.5, 878.0, 1769.0, 246.7, 104.5, 104.5
Uncorrected formation energy list, top to bottom, in meV/atom: -260, -228, 1408, -1388, -970, -1316, -798, -925
N(E_F) list, top to bottom, in states/eV per cell: 2.1, 0.4, 4.9, 0.0, 47.6, 2.8, 3.0, 2.9